Record 1
A geometry-optimized Na12Hg7Bi structure. Source: the Alexandria database, functional PBE-GGA.

Lattice parameters (Å, degrees): 8.9864 8.9864 8.9864 108.44 108.44 108.44
Sites, in units of the cell vectors:
Hg 0.7465 0.8915 0.5832
Hg 0.1085 0.4168 0.2535
Hg 0.8915 0.5832 0.7465
Hg 0.5832 0.7465 0.8915
Hg 0.5000 0.5000 0.5000
Hg 0.2535 0.1085 0.4168
Hg 0.4168 0.2535 0.1085
Na 0.3749 0.8218 0.5459
Na 0.5459 0.3749 0.8218
Na 0.1446 0.0078 0.6954
Na 0.8218 0.5459 0.3749
Na 0.9922 0.3046 0.8554
Na 0.6251 0.1782 0.4541
Na 0.8554 0.9922 0.3046
Na 0.3046 0.8554 0.9922
Na 0.6954 0.1446 0.0078
Na 0.0078 0.6954 0.1446
Na 0.1782 0.4541 0.6251
Na 0.4541 0.6251 0.1782
Bi 0.0000 0.0000 0.0000

Values from the calculation:
uncorrected energy: -1.28 eV per atom
space group: No. 148
Fermi-level density of states: 5.18 states/eV/f.u.



Record 2
A geometry-optimized Na3Hg4Bi2 structure. Source: the Alexandria database, functional PBE-GGA.

Lattice parameters (Å, degrees): 5.2257 6.2916 9.6129 63.84 75.20 65.31
Sites, in units of the cell vectors:
Na 0.4389 0.7830 0.3359
Na 0.5611 0.2170 0.6641
Na 0.0000 0.0000 0.0000
Bi 0.7460 0.2244 0.2765
Bi 0.2540 0.7756 0.7235
Hg 0.6579 0.7198 0.9724
Hg 0.3421 0.2802 0.0276
Hg 0.1257 0.3328 0.4163
Hg 0.8743 0.6672 0.5837

Values from the calculation:
uncorrected energy: -1.63 eV per atom
space group: No. 2
Fermi-level density of states: 2.50 states/eV/f.u.



Record 3
A geometry-optimized Na2Hg3Bi3 structure. Source: the Alexandria database, functional PBE-GGA.

Lattice parameters (Å, degrees): 5.4079 5.4079 9.6533 73.73 73.73 60.00
Sites, in units of the cell vectors:
Hg 0.3775 0.3775 0.8676
Hg 0.8694 0.8694 0.3917
Hg 0.1285 0.1285 0.6145
Bi 0.6240 0.6240 0.1281
Bi 0.2532 0.2532 0.2403
Bi 0.7432 0.7432 0.7704
Na 0.0090 0.0090 0.9730
Na 0.4952 0.4952 0.5144

Values from the calculation:
uncorrected energy: -2.05 eV per atom
space group: No. 160
Fermi-level density of states: 3.62 states/eV/f.u.



Record 4
A geometry-optimized Na4Hg8Bi3 structure. Source: the Alexandria database, functional PBE-GGA.

Lattice parameters (Å, degrees): 4.8507 4.8507 17.7709 90.00 90.00 90.00
Sites, in units of the cell vectors:
Hg 0.5000 0.0000 0.6401
Hg 0.0000 0.5000 0.3599
Hg 0.0000 0.0000 0.7643
Hg 0.0000 0.0000 0.2357
Hg 0.5000 0.5000 0.2325
Hg 0.0000 0.5000 0.8911
Hg 0.5000 0.0000 0.1089
Hg 0.5000 0.5000 0.7675
Bi 0.0000 0.0000 0.5000
Bi 0.5000 0.5000 0.5000
Bi 0.0000 0.0000 0.0000
Na 0.0000 0.5000 0.6416
Na 0.0000 0.5000 0.1158
Na 0.5000 0.0000 0.3584
Na 0.5000 0.0000 0.8842

Values from the calculation:
uncorrected energy: -1.43 eV per atom
space group: No. 115
Fermi-level density of states: 5.29 states/eV/f.u.



Record 5
A geometry-optimized Na6Hg2Bi3 structure. Source: the Alexandria database, functional PBE-GGA.

Lattice parameters (Å, degrees): 5.7710 5.7710 11.9441 103.98 103.98 90.00
Sites, in units of the cell vectors:
Na 0.9066 0.4066 0.8132
Na 0.4066 0.9066 0.8132
Na 0.0934 0.5934 0.1868
Na 0.2930 0.2930 0.5860
Na 0.7070 0.7070 0.4140
Na 0.5934 0.0934 0.1868
Hg 0.5654 0.5654 0.1307
Hg 0.4346 0.4346 0.8693
Bi 0.8472 0.8472 0.6943
Bi 0.0000 0.0000 0.0000
Bi 0.1528 0.1528 0.3057

Values from the calculation:
uncorrected energy: -1.99 eV per atom
space group: No. 139
Fermi-level density of states: 3.26 states/eV/f.u.



Record 6
A geometry-optimized Na3Hg4Bi4 structure. Source: the Alexandria database, functional PBE-GGA.

Lattice parameters (Å, degrees): 5.0892 3.5074 18.0988 95.56 98.08 90.00
Sites, in units of the cell vectors:
Hg 0.8248 0.3248 0.6497
Hg 0.5403 0.5403 0.0806
Hg 0.1752 0.6752 0.3503
Hg 0.4597 0.4597 0.9194
Na 0.6341 0.1341 0.2681
Na 0.3659 0.8659 0.7319
Na 0.0000 0.0000 0.0000
Bi 0.9133 0.4133 0.8265
Bi 0.0867 0.5867 0.1735
Bi 0.2729 0.2729 0.5457
Bi 0.7271 0.7271 0.4543

Values from the calculation:
uncorrected energy: -2.02 eV per atom
space group: No. 71
Fermi-level density of states: 5.03 states/eV/f.u.



Record 7
A geometry-optimized NaHg12Bi6 structure. Source: the Alexandria database, functional PBE-GGA.

Lattice parameters (Å, degrees): 8.2915 8.2916 8.2920 88.38 88.37 88.37
Sites, in units of the cell vectors:
Hg 0.4582 0.8217 0.4583
Hg 0.1376 0.3619 0.0594
Hg 0.8217 0.4584 0.4582
Hg 0.0594 0.1376 0.3618
Hg 0.3619 0.0594 0.1376
Hg 0.6381 0.9406 0.8624
Hg 0.9406 0.8624 0.6382
Hg 0.5417 0.5418 0.1782
Hg 0.4583 0.4582 0.8218
Hg 0.1783 0.5416 0.5418
Hg 0.8624 0.6381 0.9406
Hg 0.5418 0.1783 0.5417
Bi 0.1911 0.7015 0.1885
Bi 0.7015 0.1886 0.1911
Bi 0.8115 0.8090 0.2985
Bi 0.8089 0.2985 0.8115
Bi 0.1885 0.1910 0.7015
Bi 0.2985 0.8114 0.8089
Na 0.0000 0.0000 0.0000

Values from the calculation:
uncorrected energy: -1.46 eV per atom
space group: No. 148
Fermi-level density of states: 6.72 states/eV/f.u.



Record 8
A geometry-optimized Na12HgBi7 structure. Source: the Alexandria database, functional PBE-GGA.

Lattice parameters (Å, degrees): 8.9375 8.9375 8.9375 107.02 107.02 107.02
Sites, in units of the cell vectors:
Bi 0.1969 0.1064 0.4794
Bi 0.5206 0.8031 0.8936
Bi 0.4794 0.1969 0.1064
Bi 0.5000 0.5000 0.5000
Bi 0.8936 0.5206 0.8031
Bi 0.1064 0.4794 0.1969
Bi 0.8031 0.8936 0.5206
Na 0.7456 0.1622 0.8856
Na 0.4767 0.6107 0.1704
Na 0.1622 0.8856 0.7456
Na 0.8856 0.7456 0.1622
Na 0.8378 0.1144 0.2544
Na 0.8296 0.5233 0.3893
Na 0.1704 0.4767 0.6107
Na 0.3893 0.8296 0.5233
Na 0.1144 0.2544 0.8378
Na 0.5233 0.3893 0.8296
Na 0.2544 0.8378 0.1144
Na 0.6107 0.1704 0.4767
Hg 0.0000 0.0000 0.0000

Values from the calculation:
uncorrected energy: -2.39 eV per atom
space group: No. 148
Fermi-level density of states: 10.35 states/eV/f.u.